Entry 1:
Compound: AlW2
Source: Alexandria via LeMat-Bulk
Functional: SCAN
Structure: single point on PBEsol structure

a b c (Å): 6.043 6.043 4.960
angles (deg): 90.00 90.00 90.00
Space group I4/mcm (No. 140)
One atom of each set of equivalent atoms:
Al 0.000 0.000 0.250 [4 per cell]
W 0.155 0.345 0.000 [8 per cell]

Entry 2:
Compound: AlW2
Source: Alexandria via LeMat-Bulk
Functional: SCAN
Structure: single point on PBEsol structure

a b c (Å): 2.695 15.094 4.565
angles (deg): 90.00 90.00 90.00
Space group Cmcm (No. 63)
One atom of each set of equivalent atoms:
Al 0.000 0.115 0.250 [4 per cell]
W 0.000 0.216 0.750 [4 per cell]
W 0.000 0.451 0.250 [4 per cell]

Entry 3:
Compound: Al3W
Source: Alexandria via LeMat-Bulk
Functional: SCAN
Structure: single point on PBEsol structure

a b c (Å): 7.508 7.499 4.675
angles (deg): 90.00 90.00 90.00
Space group Cmcm (No. 63)
One atom of each set of equivalent atoms:
Al 0.000 0.073 0.250 [4 per cell]
Al 0.173 0.261 0.750 [8 per cell]
W 0.000 0.410 0.250 [4 per cell]

Entry 4:
Compound: AlW
Source: Alexandria via LeMat-Bulk
Functional: SCAN
Structure: single point on PBEsol structure

a b c (Å): 3.236 4.351 4.273
angles (deg): 90.00 90.00 90.00
Space group Cmmm (No. 65)
One atom of each set of equivalent atoms:
Al 0.000 0.000 0.000 [2 per cell]
W 0.000 0.500 0.500 [2 per cell]

Entry 5:
Compound: AlW3
Source: Alexandria via LeMat-Bulk
Functional: SCAN
Structure: single point on PBEsol structure

a b c (Å): 2.7985 2.7985 9.2001
angles (deg): 90.00 90.00 120.00
Space group P-6m2 (No. 187)
One atom of each set of equivalent atoms:
Al 0.0000 0.0000 0.0000 [1 per cell]
W 0.0000 0.0000 0.5000 [1 per cell]
W 0.3333 0.6667 0.2427 [2 per cell]

Entry 6:
Compound: Al3W
Source: Alexandria via LeMat-Bulk
Functional: SCAN
Structure: single point on PBEsol structure

a b c (Å): 4.614 5.281 4.908
angles (deg): 90.00 90.00 90.00
Space group Pmmn (No. 59, origin choice 2)
One atom of each set of equivalent atoms:
Al 0.250 0.000 0.150 [4 per cell]
Al 0.250 0.250 0.648 [2 per cell]
W 0.250 0.750 0.648 [2 per cell]

Entry 7:
Compound: Al3W
Source: Alexandria via LeMat-Bulk
Functional: SCAN
Structure: single point on PBEsol structure

a b c (Å): 2.840 8.899 4.784
angles (deg): 90.00 90.00 90.00
Space group Imm2 (No. 44)
One atom of each set of equivalent atoms:
Al 0.000 0.000 0.000 [2 per cell]
Al 0.000 0.245 0.657 [4 per cell]
W 0.000 0.500 0.989 [2 per cell]

Entry 8:
Compound: AlW
Source: Alexandria via LeMat-Bulk
Functional: SCAN
Structure: single point on PBEsol structure

a b c (Å): 6.201 6.201 6.201
angles (deg): 90.00 90.00 90.00
Space group Fd-3m (No. 227, origin choice 2)
One atom of each set of equivalent atoms:
Al 0.125 0.125 0.125 [8 per cell]
W 0.125 0.125 0.625 [8 per cell]

Number 1: E_form 0.23 eV per atom, raw total energy -48.81 eV per atom. Number 2: E_form 0.11 eV per atom, raw total energy -48.93 eV per atom. Number 3: E_form 0.15 eV per atom, raw total energy -23.09 eV per atom. Number 4: E_form -0.03 eV per atom, raw total energy -38.75 eV per atom. Number 5: E_form 0.28 eV per atom, raw total energy -53.93 eV per atom. Number 6: E_form -0.08 eV per atom, raw total energy -23.32 eV per atom. Number 7: E_form -0.09 eV per atom, raw total energy -23.33 eV per atom. Number 8: E_form -0.10 eV per atom, raw total energy -38.82 eV per atom.